DFT (PBE-GGA) results for a relaxed structure of Pr2Ga7Ni.

Geometry as POSCAR:
```
Pr2Ga7Ni
1.0
4.2644 0.0000 0.0000
0.0000 4.2644 0.0000
0.0000 0.0000 10.6820
Ga Pr Ni
7 2 1
direct
0.5000 0.0000 0.3569 Ga
0.0000 0.5000 0.6431 Ga
0.0000 0.0000 0.0000 Ga
0.0000 0.5000 0.8780 Ga
0.5000 0.5000 0.5000 Ga
0.5000 0.0000 0.1220 Ga
0.0000 0.0000 0.5000 Ga
0.0000 0.5000 0.2415 Pr
0.5000 0.0000 0.7585 Pr
0.5000 0.5000 0.0000 Ni
```

Computed properties:
Calculated total energy in eV/atom: -4.15
Formation energy from the elements in eV/atom: -0.501
Magnetization in Bohr magnetons per cell: 0.00